[1]
# Tl2Hg2I5 PBE optimized geometry
# electronic total energy: -1.84 eV per atom
# polymorph energy (0 for the lowest one): 3 meV per atom
data_Tl2Hg2I5
_cell_length_a 16.349
_cell_length_b 6.030
_cell_length_c 8.906
_cell_angle_alpha 90.00
_cell_angle_beta 117.65
_cell_angle_gamma 90.00
_symmetry_space_group_name_H-M 'C 1 2/m 1'
_symmetry_Int_Tables_number 12
loop_
_symmetry_equiv_pos_as_xyz
'x,y,z'
'-x,-y,-z'
'-x,y,-z'
'x,-y,z'
'x+1/2,y+1/2,z'
'-x+1/2,-y+1/2,-z'
'-x+1/2,y+1/2,-z'
'x+1/2,-y+1/2,z'
loop_
_atom_site_label
_atom_site_type_symbol
_atom_site_fract_x
_atom_site_fract_y
_atom_site_fract_z
Tl1 Tl 0.113 0.000 0.280
Hg1 Hg 0.127 0.500 0.841
I1 I 0.000 0.500 0.000
I2 I 0.139 0.000 0.887
I3 I 0.147 0.500 0.527


[2]
# Tl2HgI5 PBE optimized geometry
# electronic total energy: -1.93 eV per atom
data_Tl2HgI5
_cell_length_a 8.819
_cell_length_b 8.819
_cell_length_c 8.841
_cell_angle_alpha 90.00
_cell_angle_beta 90.00
_cell_angle_gamma 90.00
_symmetry_space_group_name_H-M 'I 4 m m'
_symmetry_Int_Tables_number 107
_symmetry_space_group_name_Hall 'I 4 -2'
loop_
_atom_site_label
_atom_site_type_symbol
_atom_site_fract_x
_atom_site_fract_y
_atom_site_fract_z
Tl1 Tl 0.000 0.500 0.000
Hg1 Hg 0.000 0.000 0.282
I1 I 0.000 0.000 0.630
I2 I 0.231 0.231 0.224


[3]
# TlHg2I4 PBE optimized geometry
# electronic total energy: -1.66 eV per atom
# polymorph energy (0 for the lowest one): 0 meV per atom
data_TlHg2I4
_cell_length_a 8.707
_cell_length_b 8.967
_cell_length_c 9.844
_cell_angle_alpha 86.89
_cell_angle_beta 73.73
_cell_angle_gamma 63.74
_symmetry_space_group_name_H-M 'P 1'
_symmetry_Int_Tables_number 1
loop_
_symmetry_equiv_pos_as_xyz
'x,y,z'
loop_
_atom_site_label
_atom_site_type_symbol
_atom_site_fract_x
_atom_site_fract_y
_atom_site_fract_z
Tl1 Tl 0.000 0.000 0.000
Tl2 Tl 0.386 0.464 0.151
Hg1 Hg 0.207 0.947 0.456
Hg2 Hg 0.517 0.378 0.738
Hg3 Hg 0.765 0.491 0.383
Hg4 Hg 0.831 0.408 0.990
I1 I 0.031 0.807 0.361
I2 I 0.126 0.255 0.255
I3 I 0.155 0.589 0.891
I4 I 0.240 0.070 0.685
I5 I 0.558 0.299 0.441
I6 I 0.592 0.781 0.250
I7 I 0.632 0.093 0.890
I8 I 0.720 0.569 0.677


[4]
# TlHgI4 PBE optimized geometry
# electronic total energy: -1.66 eV per atom
# polymorph energy (0 for the lowest one): 104 meV per atom
data_TlHgI4
_cell_length_a 8.551
_cell_length_b 8.551
_cell_length_c 9.814
_cell_angle_alpha 90.00
_cell_angle_beta 90.00
_cell_angle_gamma 90.00
_symmetry_space_group_name_H-M 'P 42/m m c'
_symmetry_Int_Tables_number 131
_symmetry_space_group_name_Hall '-P 4c 2'
loop_
_atom_site_label
_atom_site_type_symbol
_atom_site_fract_x
_atom_site_fract_y
_atom_site_fract_z
Tl1 Tl 0.000 0.500 0.000
Hg1 Hg 0.000 0.000 0.000
I1 I 0.230 0.251 0.500


[5]
# Tl6Hg5I PBE optimized geometry
# electronic total energy: -1.50 eV per atom
data_Tl6Hg5I
_cell_length_a 6.053
_cell_length_b 7.486
_cell_length_c 9.458
_cell_angle_alpha 111.02
_cell_angle_beta 105.22
_cell_angle_gamma 96.21
_symmetry_space_group_name_H-M 'P -1'
_symmetry_Int_Tables_number 2
loop_
_symmetry_equiv_pos_as_xyz
'x,y,z'
'-x,-y,-z'
loop_
_atom_site_label
_atom_site_type_symbol
_atom_site_fract_x
_atom_site_fract_y
_atom_site_fract_z
Tl1 Tl 0.013 0.261 0.498
Tl2 Tl 0.318 0.562 0.147
Tl3 Tl 0.323 0.081 0.144
Hg1 Hg 0.156 0.157 0.810
Hg2 Hg 0.170 0.665 0.832
Hg3 Hg 0.500 0.500 0.500
I1 I 0.500 0.000 0.500


[6]
# TlHgI3 PBE optimized geometry
# electronic total energy: -1.89 eV per atom
# polymorph energy (0 for the lowest one): 5 meV per atom
data_TlHgI3
_cell_length_a 5.524
_cell_length_b 9.147
_cell_length_c 9.149
_cell_angle_alpha 74.21
_cell_angle_beta 89.43
_cell_angle_gamma 89.41
_symmetry_space_group_name_H-M 'P -1'
_symmetry_Int_Tables_number 2
loop_
_symmetry_equiv_pos_as_xyz
'x,y,z'
'-x,-y,-z'
loop_
_atom_site_label
_atom_site_type_symbol
_atom_site_fract_x
_atom_site_fract_y
_atom_site_fract_z
Tl1 Tl 0.175 0.271 0.272
Hg1 Hg 0.000 0.193 0.808
I1 I 0.263 0.439 0.837
I2 I 0.263 0.837 0.439
I3 I 0.263 0.893 0.893


Number 1: formation energy from raw total energies -0.384 eV per atom. Number 2: formation energy from raw total energies -0.332 eV per atom. Number 3: formation energy from raw total energies -0.346 eV per atom. Number 4: formation energy from raw total energies -0.179 eV per atom. Number 5: formation energy from raw total energies -0.064 eV per atom. Number 6: formation energy from raw total energies -0.423 eV per atom.